1.
Density functional theory data (SCAN) for a crystal of NbPbSe2N relaxed with PBEsol.

Cell and atoms, written as CIF:
```
data_NbPbSe2N
_space_group_name_H-M_alt 'P 4/m m m'
_space_group_IT_number 123
_space_group_name_Hall '-P 4 2'
_cell_length_a 5.335
_cell_length_b 5.335
_cell_length_c 4.050
_cell_angle_alpha 90.00
_cell_angle_beta 90.00
_cell_angle_gamma 90.00
loop_
_atom_site_label
_atom_site_type_symbol
_atom_site_fract_x
_atom_site_fract_y
_atom_site_fract_z
Nb1 Nb 0.000 0.000 0.000
Pb1 Pb 0.500 0.500 0.500
Se1 Se 0.000 0.500 0.500
N1 N 0.500 0.500 0.000
```

Computed properties:
Total energy, eV per atom: -30.423
Magnetization, μB/f.u.: 1.7
Crystal system: tetragonal



2.
Density functional theory data (SCAN) for a crystal of Nb3PdN relaxed with PBEsol.

Cell and atoms, written as CIF:
```
data_Nb3PdN
_space_group_name_H-M_alt 'P m -3 m'
_space_group_IT_number 221
_space_group_name_Hall '-P 4 2 3'
_cell_length_a 4.209
_cell_length_b 4.209
_cell_length_c 4.209
_cell_angle_alpha 90.00
_cell_angle_beta 90.00
_cell_angle_gamma 90.00
loop_
_atom_site_label
_atom_site_type_symbol
_atom_site_fract_x
_atom_site_fract_y
_atom_site_fract_z
Nb1 Nb 0.000 0.000 0.500
Pd1 Pd 0.500 0.500 0.500
N1 N 0.000 0.000 0.000
```

Computed properties:
Total energy, eV per atom: -28.862
Magnetization, μB/f.u.: 0.0
Crystal system: cubic



3.
Density functional theory data (SCAN) for a crystal of Nb2PdN relaxed with PBEsol.

Cell and atoms, written as CIF:
```
data_Nb2PdN
_space_group_name_H-M_alt 'C m c m'
_space_group_IT_number 63
_space_group_name_Hall '-C 2c 2'
_cell_length_a 3.044
_cell_length_b 16.380
_cell_length_c 4.371
_cell_angle_alpha 90.00
_cell_angle_beta 90.00
_cell_angle_gamma 90.00
loop_
_atom_site_label
_atom_site_type_symbol
_atom_site_fract_x
_atom_site_fract_y
_atom_site_fract_z
Nb1 Nb 0.000 0.102 0.250
Nb2 Nb 0.000 0.288 0.250
Pd1 Pd 0.000 0.455 0.250
N1 N 0.000 0.305 0.750
```

Computed properties:
Total energy, eV per atom: -27.820
Magnetization, μB/f.u.: 0.0
Crystal system: orthorhombic



4.
Density functional theory data (SCAN) for a crystal of NbPd2N relaxed with PBEsol.

Cell and atoms, written as CIF:
```
data_NbPd2N
_space_group_name_H-M_alt 'I -4 2 d'
_space_group_IT_number 122
_space_group_name_Hall 'I -4 2bw'
_cell_length_a 7.256
_cell_length_b 7.256
_cell_length_c 4.288
_cell_angle_alpha 90.00
_cell_angle_beta 90.00
_cell_angle_gamma 90.00
loop_
_atom_site_label
_atom_site_type_symbol
_atom_site_fract_x
_atom_site_fract_y
_atom_site_fract_z
Nb1 Nb 0.000 0.000 0.000
Pd1 Pd 0.144 0.750 0.625
N1 N 0.000 0.000 0.500
```

Computed properties:
Total energy, eV per atom: -26.807
Magnetization, μB/f.u.: 0.0
Crystal system: tetragonal



5.
Density functional theory data (SCAN) for a crystal of NbPdN3 relaxed with PBEsol.

Cell and atoms, written as CIF:
```
data_NbPdN3
_space_group_name_H-M_alt 'P m -3 m'
_space_group_IT_number 221
_space_group_name_Hall '-P 4 2 3'
_cell_length_a 3.788
_cell_length_b 3.788
_cell_length_c 3.788
_cell_angle_alpha 90.00
_cell_angle_beta 90.00
_cell_angle_gamma 90.00
loop_
_atom_site_label
_atom_site_type_symbol
_atom_site_fract_x
_atom_site_fract_y
_atom_site_fract_z
Nb1 Nb 0.000 0.000 0.000
Pd1 Pd 0.500 0.500 0.500
N1 N 0.000 0.500 0.500
```

Computed properties:
Total energy, eV per atom: -17.415
Magnetization, μB/f.u.: 0.0
Crystal system: cubic



6.
Density functional theory data (SCAN) for a crystal of Nb3PdN relaxed with PBEsol.

Cell and atoms, written as CIF:
```
data_Nb3PdN
_space_group_name_H-M_alt 'C m c m'
_space_group_IT_number 63
_space_group_name_Hall '-C 2c 2'
_cell_length_a 3.144
_cell_length_b 10.857
_cell_length_c 8.608
_cell_angle_alpha 90.00
_cell_angle_beta 90.00
_cell_angle_gamma 90.00
loop_
_atom_site_label
_atom_site_type_symbol
_atom_site_fract_x
_atom_site_fract_y
_atom_site_fract_z
Nb1 Nb 0.000 0.036 0.250
Nb2 Nb 0.000 0.371 0.041
Pd1 Pd 0.000 0.251 0.750
N1 N 0.000 0.000 0.000
```

Computed properties:
Total energy, eV per atom: -28.933
Magnetization, μB/f.u.: 0.0
Crystal system: orthorhombic